VASP calculation (GGA-PBE) on a relaxed Ce2Sm3Dy6Sc crystal.

It has space group C2/m (No. 12), with a = 6.1197 Å, b = 10.5971 Å, c = 11.7019 Å, α = 90.00°, β = 100.03° and γ = 90.00°. The distinct sites, in fractional coordinates, are Ce at (0.0000, 0.1662, 0.0000), Sm at (0.0000, 0.0000, 0.5000), Sm at (0.0000, 0.3340, 0.5000), Dy at (0.2479, 0.3337, 0.2445), Dy at (0.2490, 0.0000, 0.2449) and Sc at (0.0000, 0.5000, 0.0000).

As for the formation energy: 60.1 kJ/mol of formula units. Its theoretical density is 7.8 g cm⁻³.